No. 1
VASP calculation (GGA-PBE) on a relaxed La2DyGa crystal.

a b c (Å): 3.5568 3.5568 12.3417
angles (deg): 81.72 81.72 60.00
Positions (direct):
La 0.0863 0.0863 0.7411
La 0.9137 0.9137 0.2589
Ga 0.0000 0.0000 0.0000
Dy 0.5000 0.5000 0.5000

Results
As for the theoretical density: 6.4 g/cm³. The calculation puts the volume at 133 Å³/f.u. For the total magnetic moment, the calculation gives 0.00 μB/cell. Its space group is R-3m. The calculation puts the energy above the lowest structure with this stoichiometry at 1.72 eV/f.u.

No. 2
VASP calculation (GGA-PBE) on a relaxed Sn2HgAs crystal.

a b c (Å): 6.5996 6.5996 7.6817
angles (deg): 64.56 64.56 90.00
Positions (direct):
As 0.5000 0.5000 0.0000
As 0.2500 0.7500 0.5000
Hg 0.0000 0.0000 0.0000
Hg 0.7500 0.2500 0.5000
Sn 0.6114 0.1250 0.2500
Sn 0.1386 0.6250 0.2500
Sn 0.3750 0.3886 0.7500
Sn 0.8750 0.8614 0.7500

Results
As for the theoretical density: 6.4 g/cm³. The calculation puts the volume at 133 Å³/f.u. For the total magnetic moment, the calculation gives 0.00 μB/cell. Its space group is I-42d. The calculation puts the energy above the lowest structure with this stoichiometry at 0.32 eV/f.u.

No. 3
VASP calculation (GGA-PBE) on a relaxed Ac5BiPd2 crystal.

a b c (Å): 8.6572 8.6583 9.5717
angles (deg): 116.89 116.89 90.00
Positions (direct):
Ac 0.5178 0.7059 0.7237
Ac 0.7941 0.9823 0.2763
Ac 0.0000 0.0000 0.0000
Ac 0.5000 0.5000 0.0000
Ac 0.2059 0.0177 0.7237
Ac 0.7059 0.2059 0.7237
Ac 0.0178 0.5177 0.7237
Ac 0.2941 0.7941 0.2763
Ac 0.9822 0.4823 0.2763
Ac 0.4822 0.2941 0.2763
Bi 0.7500 0.7500 0.5000
Bi 0.2500 0.2500 0.5000
Pd 0.1393 0.3609 0.0000
Pd 0.6393 0.1391 0.0000
Pd 0.3607 0.8609 0.0000
Pd 0.8607 0.6391 0.0000

Results
As for the theoretical density: 9.4 g/cm³. The calculation puts the volume at 276 Å³/f.u. For the total magnetic moment, the calculation gives 0.00 μB/cell. Its space group is I4/mcm. For the calculated total energy, the calculation gives -79.56 eV per cell.

No. 4
VASP calculation (GGA-PBE) on a relaxed Pr3SbP crystal.

a b c (Å): 7.4105 9.7536 9.7536
angles (deg): 77.31 80.50 80.50
Site moments in Bohr magnetons follow the coordinates.
Positions (direct):
Pr 0.5346 0.1903 0.0294  0.00
Pr 0.0346 0.0294 0.1903  0.00
Pr 0.9654 0.9706 0.8097  0.00
Pr 0.4654 0.8097 0.9706  0.00
Pr 0.9283 0.3295 0.4654  0.12
Pr 0.4283 0.4654 0.3295  0.12
Pr 0.5717 0.5346 0.6705  0.12
Pr 0.0717 0.6705 0.5346  0.12
Pr 0.9671 0.6441 0.1508  0.02
Pr 0.4671 0.1508 0.6441  0.02
Pr 0.5329 0.8492 0.3559  0.02
Pr 0.0329 0.3559 0.8492  0.02
Sb 0.7970 0.3595 0.1495  0.00
Sb 0.2970 0.1495 0.3595  0.00
Sb 0.7030 0.8505 0.6405  0.00
Sb 0.2030 0.6405 0.8505  0.00
P 0.2500 0.7509 0.2491  0.00
P 0.2500 0.0847 0.9153  0.00
P 0.7500 0.2491 0.7509  0.00
P 0.7500 0.9153 0.0847  0.00

Results
The value obtained for the formation energy without anion corrections is -0.987 eV per atom. As for the theoretical density: 5.7 g/cm³. The calculation puts the volume at 168 Å³/f.u. For the total magnetic moment, the calculation gives 1.43 μB/cell. Its space group is C2/c.